# 1
The following is a PBE-GGA calculation of a geometry-optimized CrPb2Br structure, from the Alexandria database.

Calculated values
ΔE_f (raw) = 285 meV per atom
Density of states at the Fermi level = 3.05 states/eV/cell
Uncorrected energy = -4.394 eV per atom
Calculated density = 8.35 g cm⁻³
Volume = 27.2 Å³ per atom
Energy above the most stable polymorph in this dataset = 245 meV/atom

Cell: 5.3650 3.4741 5.8290 Å, 90.00 90.19 90.00°
Atoms (fractional coordinates):
Cr 0.0000 0.0000 0.0000
Pb 0.5000 0.0000 0.5000
Pb 0.5000 0.5000 0.0000
Br 0.0000 0.5000 0.5000



# 2
The following is a PBE-GGA calculation of a geometry-optimized CrPbBr3 structure, from the Alexandria database.

Calculated values
ΔE_f (raw) = -40 meV per atom
Density of states at the Fermi level = 11.06 states/eV/cell
Uncorrected energy = -3.710 eV per atom
Calculated density = 4.07 g cm⁻³
Volume = 40.7 Å³ per atom

Cell: 5.8810 5.8810 5.8810 Å, 90.00 90.00 90.00°
Atoms (fractional coordinates):
Cr 0.0000 0.0000 0.0000
Pb 0.5000 0.5000 0.5000
Br 0.0000 0.5000 0.5000
Br 0.5000 0.0000 0.5000
Br 0.5000 0.5000 0.0000



# 3
The following is a PBE-GGA calculation of a geometry-optimized Cr2PbBr structure, from the Alexandria database.

Calculated values
ΔE_f (raw) = 616 meV per atom
Density of states at the Fermi level = 5.32 states/eV/cell
Uncorrected energy = -5.541 eV per atom
Calculated density = 6.83 g cm⁻³
Volume = 23.8 Å³ per atom
Energy above the most stable polymorph in this dataset = 344 meV/atom

Cell: 6.2953 6.2953 6.2953 Å, 106.40 106.40 115.80°
Atoms (fractional coordinates):
Cr 0.1050 0.6250 0.9800
Cr 0.3750 0.3550 0.4800
Cr 0.6450 0.1250 0.0200
Cr 0.8750 0.8950 0.5200
Pb 0.2500 0.7500 0.5000
Pb 0.5000 0.5000 0.0000
Br 0.0000 0.0000 0.0000
Br 0.7500 0.2500 0.5000



# 4
The following is a PBE-GGA calculation of a geometry-optimized RbCrPb2Br8 structure, from the Alexandria database.

Calculated values
ΔE_f (raw) = -937 meV per atom
Uncorrected energy = -3.553 eV per atom
Calculated density = 4.61 g cm⁻³
Volume = 35.7 Å³ per atom

Cell: 6.7114 6.9694 9.1727 Å, 89.93 89.69 88.26°
Atoms (fractional coordinates):
Rb 0.0000 0.0000 0.0000
Cr 0.0000 0.0000 0.5000
Pb 0.4988 0.5000 0.2609
Pb 0.5012 0.5000 0.7391
Br 0.2104 0.3041 0.5007
Br 0.2273 0.8562 0.6940
Br 0.2295 0.8589 0.3045
Br 0.2652 0.3885 0.0009
Br 0.7348 0.6115 0.9991
Br 0.7705 0.1411 0.6955
Br 0.7727 0.1438 0.3060
Br 0.7896 0.6959 0.4993



> Look up the uncorrected energy of the third one.

-5.541 eV per atom



> Which of these has the lowest volume?

Cr2PbBr